1.
8
Lattice="3.885 0.000 0.000 0.000 3.885 0.000 1.943 1.943 10.131" Properties=species:S:1:pos:R:3 comment="PBE-GGA TlNiAg2, optimized geometry" crystal_system=tetragonal dos_ef_per_ev_fu=1.7 ef_ev_per_atom=0.35 pbc="T T T"
Ni 1.943 1.943 0.000
Ni 1.943 3.885 5.065
Tl 0.000 0.000 0.000
Tl 3.885 1.943 5.065
Ag 2.877 0.971 2.533
Ag 1.008 2.914 2.533
Ag 2.914 2.951 7.598
Ag 4.857 4.820 7.598

---

2.
12
Lattice="3.779 0.000 0.000 -1.889 6.808 -3.331 0.000 1.187 10.065" Properties=species:S:1:pos:R:3 comment="PBE-GGA TbSc3Se2, optimized geometry" crystal_system=monoclinic dos_ef_per_ev_fu=5.0 e_form_raw_mev_per_atom=-1060 pbc="T T T"
Tb 1.889 6.278 7.154
Tb 0.000 1.716 -0.420
Sc 0.000 4.585 4.379
Sc 1.889 6.700 3.068
Sc 1.889 2.493 5.957
Sc 0.000 5.501 0.778
Sc 0.000 1.295 3.666
Sc 1.889 3.410 2.356
Se 0.000 7.541 5.072
Se 1.889 0.454 1.662
Se 1.889 3.866 -0.283
Se 0.000 4.128 7.017

---

3.
5
Lattice="5.087 0.000 0.000 0.000 5.087 0.000 0.000 0.000 5.606" Properties=species:S:1:pos:R:3 comment="PBE-GGA GeSb2RhI, optimized geometry" crystal_system=tetragonal dos_ef_per_ev_fu=4.4 e_form_raw_mev_per_atom=476 pbc="T T T"
I 0.000 0.000 2.803
Sb 0.000 2.544 0.000
Sb 2.544 0.000 0.000
Ge 2.544 2.544 2.803
Rh 0.000 0.000 0.000

---

4.
5
Lattice="-1.294 5.633 -2.226 -4.508 -2.185 -2.910 -3.669 1.082 4.871" Properties=species:S:1:pos:R:3 comment="PBE-GGA Cs2SrFeRh, optimized geometry" crystal_system=tetragonal dos_ef_per_ev_fu=1.4 ef_ev_per_atom=0.89 pbc="T T T"
Cs -1.834 0.541 2.436
Cs -0.647 2.816 -1.113
Sr -2.254 -1.093 -1.455
Rh 0.000 0.000 0.000
Fe -4.735 2.265 -0.132